GGA-PBE TlCdInPb, optimized geometry; DFT total energy = -2.408 eV/atom; calculated density = 9431 kg/m³; Fermi-level density of states = 1.616 states/eV/f.u.
1.0
-1.922 2.873 0.475
-2.863 -1.969 0.311
1.389 -0.575 9.118
Pb In Tl Cd
1 1 1 1
Direct
0.148 0.852 0.713
0.646 0.354 0.457
0.646 0.354 0.988
0.145 0.855 0.232